Ce4Pu4Sn3: optimized geometry, PBE.

Electronic total energy: -8.684 eV per atom
Total magnetization: 1.77 μB/cell
Energy of formation: -0.22 eV/atom
Calculated density: 11.1 g cm⁻³

Cell: 3.3720 5.0639 16.8019 Å, 81.42 84.62 89.98°
Space group P-1 (No. 2)
Asymmetric unit:
Ce 0.0496 0.0915 0.3217 (multiplicity 2)
Ce 0.2235 0.7247 0.0511 (multiplicity 2)
Pu 0.1338 0.5460 0.4081 (multiplicity 2)
Pu 0.1914 0.1833 0.1358 (multiplicity 2)
Sn 0.3613 0.3626 0.7712 (multiplicity 2)
Sn 0.5000 0.0000 0.5000 (multiplicity 1)